Entry 1:
This record from Alexandria describes an optimized crystal structure of Zr2CdCoC. The functional is GGA-PBE.

Values from the calculation:
The value obtained for the total energy is -7.130 eV per atom. The calculation puts the theoretical density at 7.40 g/cm³. The size of the total moment comes out at 1.22 μB/cell. The formation energy comes out at -262 meV per atom.

```
data_Zr2CdCoC
_chemical_formula_sum 'Zr2 Cd1 Co1 C1'
_symmetry_space_group_name_H-M 'P 4/m m m'
_symmetry_Int_Tables_number 123
_symmetry_space_group_name_Hall '-P 4 2'
_cell_length_a 4.648
_cell_length_b 4.648
_cell_length_c 3.800
_cell_angle_alpha 90.00
_cell_angle_beta 90.00
_cell_angle_gamma 90.00
loop_
_atom_site_label
_atom_site_type_symbol
_atom_site_fract_x
_atom_site_fract_y
_atom_site_fract_z
_atom_site_occupancy
Zr1 Zr 0.000 0.500 0.000 1
Cd1 Cd 0.000 0.000 0.500 1
Co1 Co 0.500 0.500 0.500 1
C1 C 0.500 0.500 0.000 1
```

Entry 2:
This record from Alexandria describes an optimized crystal structure of CrCdC3. The functional is GGA-PBE.

Values from the calculation:
The value obtained for the total energy is -3.948 eV per atom. The calculation puts the theoretical density at 4.63 g/cm³. The size of the total moment comes out at 0.28 μB/cell. The formation energy comes out at 3694 meV per atom. For the polymorph energy (0 for the lowest one), the calculation gives 1980 meV/atom.

```
data_CrCdC3
_chemical_formula_sum 'Cr1 Cd1 C3'
_symmetry_space_group_name_H-M 'P m -3 m'
_symmetry_Int_Tables_number 221
_symmetry_space_group_name_Hall '-P 4 2 3'
_cell_length_a 4.158
_cell_length_b 4.158
_cell_length_c 4.158
_cell_angle_alpha 90.00
_cell_angle_beta 90.00
_cell_angle_gamma 90.00
loop_
_atom_site_label
_atom_site_type_symbol
_atom_site_fract_x
_atom_site_fract_y
_atom_site_fract_z
_atom_site_occupancy
Cr1 Cr 0.000 0.000 0.000 1
Cd1 Cd 0.500 0.500 0.500 1
C1 C 0.000 0.500 0.500 1
```

Entry 3:
This record from Alexandria describes an optimized crystal structure of CrCdC3. The functional is GGA-PBE.

Values from the calculation:
The value obtained for the total energy is -5.928 eV per atom. The calculation puts the theoretical density at 5.65 g/cm³. The size of the total moment comes out at 0.00 μB/cell. The formation energy comes out at 1714 meV per atom. For the polymorph energy (0 for the lowest one), the calculation gives 0 meV/atom.

```
data_CrCdC3
_chemical_formula_sum 'Cr1 Cd1 C3'
_symmetry_space_group_name_H-M 'P m -3 m'
_symmetry_Int_Tables_number 221
_symmetry_space_group_name_Hall '-P 4 2 3'
_cell_length_a 3.890
_cell_length_b 3.890
_cell_length_c 3.890
_cell_angle_alpha 90.00
_cell_angle_beta 90.00
_cell_angle_gamma 90.00
loop_
_atom_site_label
_atom_site_type_symbol
_atom_site_fract_x
_atom_site_fract_y
_atom_site_fract_z
_atom_site_occupancy
Cr1 Cr 0.000 0.000 0.000 1
Cd1 Cd 0.500 0.500 0.500 1
C1 C 0.000 0.000 0.500 1
```